*a*
A plane-wave DFT calculation with meta-GGA SCAN was carried out for a PBEsol-optimized structure of Ta2TePb.

Geometry as extended XYZ:
```
4
Lattice="3.311 0.000 0.000 0.000 5.372 0.000 -1.656 -2.686 4.716" Properties=species:S:1:pos:R:3 pbc="T T T"
Pb 0.000 2.686 0.000
Ta 1.656 2.686 2.462
Ta 0.000 0.000 2.254
Te 1.656 0.000 0.000
```

Properties
crystal system: orthorhombic
magnetic moment: 0.000 μB/cell
space group: Immm (71)



*b*
A plane-wave DFT calculation with meta-GGA SCAN was carried out for a PBEsol-optimized structure of Ta2TePb.

Geometry as extended XYZ:
```
4
Lattice="3.294 0.000 0.000 1.647 2.853 0.000 1.647 0.951 10.024" Properties=species:S:1:pos:R:3 pbc="T T T"
Pb 1.647 0.951 2.140
Ta 1.647 0.951 9.667
Ta 4.941 2.853 7.656
Te 3.294 1.902 5.597
```

Properties
crystal system: trigonal
magnetic moment: 0.000 μB/cell
space group: R3m (160)



The energy of each structure relative to the most stable one, in kJ/mol of atoms, is as follows: *a* 50.3; *b* 0.0.